No. 1
Below is crystalline BaPmTl2F8 at its relaxed geometry, with properties calculated at the GGA-PBE level.

Geometry as POSCAR:
```
BaPmTl2F8
1.0
6.146 0.000 0.000
0.000 6.146 0.000
-3.073 -3.073 5.832
F Pm Ba Tl
8 1 1 2
direct
0.599 0.656 0.744
0.599 0.088 0.744
0.144 0.656 0.744
0.344 0.401 0.256
0.144 0.088 0.744
0.912 0.856 0.256
0.344 0.856 0.256
0.912 0.401 0.256
0.250 0.750 0.500
0.500 0.500 0.000
0.000 0.000 0.000
0.750 0.250 0.500
```

space group = I-4m2
E_form (uncorrected) = -36.4 eV per formula unit
ρ = 6.4 g/cm³
total moment = 0.72 Bohr magnetons per cell

No. 2
Below is crystalline Ba2PmTlF8 at its relaxed geometry, with properties calculated at the GGA-PBE level.

Geometry as POSCAR:
```
Ba2PmTlF8
1.0
6.092 0.000 0.000
0.000 6.092 0.000
-3.046 -3.046 6.212
Pm F Tl Ba
1 8 1 2
direct
0.250 0.750 0.500
0.918 0.402 0.278
0.598 0.082 0.722
0.598 0.640 0.722
0.360 0.402 0.278
0.918 0.877 0.278
0.123 0.640 0.722
0.360 0.877 0.278
0.123 0.082 0.722
0.500 0.500 0.000
0.750 0.250 0.500
0.000 0.000 0.000
```

space group = I-4m2
E_form (uncorrected) = -43.2 eV per formula unit
ρ = 5.6 g/cm³
total moment = 0.00 Bohr magnetons per cell

No. 3
Below is crystalline BaPr2F at its relaxed geometry, with properties calculated at the GGA-PBE level.

Geometry as POSCAR:
```
BaPr2F
1.0
-1.965 0.549 -3.366
-0.240 -2.913 -2.636
-9.111 -4.042 2.358
Pr F Ba
2 1 1
direct
0.121 0.121 0.636
0.879 0.879 0.364
0.500 0.500 0.500
0.000 0.000 0.000
```

space group = R-3m
E_form (uncorrected) = -3.8 eV per formula unit
ρ = 5.4 g/cm³
total moment = 0.24 Bohr magnetons per cell

No. 4
Below is crystalline BaPr2F7 at its relaxed geometry, with properties calculated at the GGA-PBE level.

Geometry as POSCAR:
```
BaPr2F7
1.0
-0.527 2.116 3.872
-6.615 1.358 -1.643
1.089 -5.959 3.406
F Ba Pr
7 1 2
direct
0.500 0.324 0.049
0.500 0.049 0.324
0.000 0.762 0.238
0.500 0.676 0.951
0.500 0.951 0.676
0.000 0.238 0.762
0.500 0.500 0.500
0.000 0.000 0.000
0.500 0.309 0.691
0.500 0.691 0.309
```

space group = Cmmm
E_form (uncorrected) = -37.4 eV per formula unit
ρ = 4.7 g/cm³
total moment = 0.61 Bohr magnetons per cell

Question: What is the formula in the first record?
Answer: BaPmTl2F8